The following is a DFT calculation (PBE-GGA) of a relaxed NaCaTcIr2 crystal.

Output
uncorrected energy	-5.590	eV per atom
energy of formation from the pure elements	3.46	eV/f.u.

Cell: 4.745 5.071 4.745 Å, 90.00 90.00 90.00°
Element x y z (fractional)
Na 0.000 0.500 0.000
Ca 0.500 0.500 0.500
Ir 0.000 0.000 0.500
Ir 0.500 0.000 0.000
Tc 0.000 0.000 0.000



The following is a DFT calculation (PBE-GGA) of a relaxed NaCaTcIr2 crystal.

Output
uncorrected energy	-4.188	eV per atom
energy of formation from the pure elements	10.47	eV/f.u.

Cell: 4.950 4.997 4.950 Å, 90.00 90.00 90.00°
Element x y z (fractional)
Na 0.500 0.500 0.500
Ca 0.000 0.000 0.000
Ir 0.000 0.000 0.500
Ir 0.500 0.000 0.000
Tc 0.000 0.500 0.000



Number 1: E above lowest polymorph 0 meV per atom. Number 2: E above lowest polymorph 1401 meV per atom.